VASP calculation (PBE) on a geometry-optimized Tb3Y7Er2 structure.

The space group is P2/m (No. 10) and the conventional cell measures 5.8065, 3.5682 and 18.6787 Å, with angles of 90.00, 93.38 and 90.00 degrees. The distinct sites, in fractional coordinates, are Tb at (0.0000, 0.0000, 0.0000), Tb at (0.2808, 0.5000, 0.6334), Y at (0.1839, 0.5000, 0.1441), Y at (0.2424, 0.0000, 0.4632), Y at (0.3126, 0.0000, 0.8198), Y at (0.5000, 0.5000, 0.0000) and Er at (0.2067, 0.0000, 0.2946).

The polymorph energy (0 for the lowest one) is 9 meV/atom. The calculation puts the raw total energy at -5.60 eV/atom. The volume is 386.3 Å³/f.u. The energy of formation from the pure elements comes out at 0.09 eV per atom. Its calculated density is 6.162 g/cm3.